1.
First-principles (GGA-PBE) data for crystalline CdGePtO6 at its relaxed geometry, as listed in the Alexandria database.

Output
Symmetry: P-31c (163)
ρ: 7.08 g/cm³
Uncorrected formation energy: -0.884 eV per atom

a = 5.1599 Å, b = 5.1599 Å, c = 9.6872 Å
α = 90.00°, β = 90.00°, γ = 120.00°
Sites, in units of the cell vectors:
Cd: 0.0000 0.0000 0.0000
Cd: 0.0000 0.0000 0.5000
Ge: 0.3333 0.6667 0.2500
Ge: 0.6667 0.3333 0.7500
Pt: 0.3333 0.6667 0.7500
Pt: 0.6667 0.3333 0.2500
O: 0.0089 0.3697 0.1416
O: 0.0089 0.6392 0.3584
O: 0.3608 0.3697 0.3584
O: 0.3608 0.9911 0.1416
O: 0.3697 0.0089 0.6416
O: 0.3697 0.3608 0.8584
O: 0.6303 0.6392 0.1416
O: 0.6303 0.9911 0.3584
O: 0.6392 0.0089 0.8584
O: 0.6392 0.6303 0.6416
O: 0.9911 0.3608 0.6416
O: 0.9911 0.6303 0.8584

---

2.
First-principles (GGA-PBE) data for crystalline CdGe2PtO at its relaxed geometry, as listed in the Alexandria database.

Output
ΔE to the lowest computed polymorph: 0.081 eV/atom
Symmetry: P1 (1)
ρ: 8.47 g/cm³
Uncorrected formation energy: -0.501 eV per atom

a = 4.5543 Å, b = 4.6242 Å, c = 5.0138 Å
α = 66.78°, β = 87.91°, γ = 72.17°
Sites, in units of the cell vectors:
Cd: 0.0000 0.0000 0.0000
Ge: 0.4755 0.3814 0.3698
Ge: 0.7792 0.6959 0.6449
Pt: 0.3453 0.4655 0.8413
O: 0.7884 0.5816 0.3237

---

3.
First-principles (GGA-PBE) data for crystalline CdGe2PtO at its relaxed geometry, as listed in the Alexandria database.

Output
ΔE to the lowest computed polymorph: 0.000 eV/atom
Symmetry: Pm (6)
ρ: 8.64 g/cm³
Uncorrected formation energy: -0.582 eV per atom

a = 4.8784 Å, b = 3.1865 Å, c = 6.0470 Å
α = 90.00°, β = 106.65°, γ = 90.00°
Sites, in units of the cell vectors:
Cd: 0.0000 0.0000 0.0000
Ge: 0.3688 0.0000 0.6746
Ge: 0.6213 0.0000 0.3582
Pt: 0.5140 0.5000 0.0205
O: 0.9718 0.0000 0.5784

---

4.
First-principles (GGA-PBE) data for crystalline CdGe2PtO at its relaxed geometry, as listed in the Alexandria database.

Output
ΔE to the lowest computed polymorph: 0.049 eV/atom
Symmetry: Amm2 (38)
ρ: 8.75 g/cm³
Uncorrected formation energy: -0.533 eV per atom

a = 3.5645 Å, b = 8.4961 Å, c = 8.4961 Å
α = 20.24°, β = 90.00°, γ = 90.00°
Sites, in units of the cell vectors:
Cd: 0.0000 0.0000 0.0000
Ge: 0.5000 0.3731 0.3731
Ge: 0.5000 0.6881 0.6881
Pt: 0.0000 0.7907 0.7907
O: 0.5000 0.1178 0.1178

---

5.
First-principles (GGA-PBE) data for crystalline CdGePtO5 at its relaxed geometry, as listed in the Alexandria database.

Output
Symmetry: C2/c (15)
ρ: 7.52 g/cm³
Uncorrected formation energy: -1.058 eV per atom

a = 5.6344 Å, b = 5.6344 Å, c = 7.3412 Å
α = 104.93°, β = 104.93°, γ = 105.46°
Sites, in units of the cell vectors:
Cd: 0.1657 0.8343 0.7500
Cd: 0.8343 0.1657 0.2500
Ge: 0.1846 0.8154 0.2500
Ge: 0.8154 0.1846 0.7500
Pt: 0.5000 0.5000 0.0000
Pt: 0.5000 0.5000 0.5000
O: 0.1317 0.2359 0.9217
O: 0.1811 0.5942 0.3859
O: 0.2359 0.1317 0.4217
O: 0.4058 0.8189 0.1141
O: 0.4079 0.5921 0.7500
O: 0.5921 0.4079 0.2500
O: 0.5942 0.1811 0.8859
O: 0.7641 0.8683 0.5783
O: 0.8189 0.4058 0.6141
O: 0.8683 0.7641 0.0783

---

6.
First-principles (GGA-PBE) data for crystalline CdGe2PtO at its relaxed geometry, as listed in the Alexandria database.

Output
ΔE to the lowest computed polymorph: 0.045 eV/atom
Symmetry: Cm (8)
ρ: 8.36 g/cm³
Uncorrected formation energy: -0.537 eV per atom

a = 8.9857 Å, b = 8.9857 Å, c = 3.5837 Å
α = 101.23°, β = 101.23°, γ = 19.17°
Sites, in units of the cell vectors:
Cd: 0.0000 0.0000 0.0000
Ge: 0.2961 0.2961 0.7885
Ge: 0.6190 0.6190 0.6154
Pt: 0.1967 0.1967 0.1915
O: 0.8622 0.8622 0.8527

---

7.
First-principles (GGA-PBE) data for crystalline CdGe2PtO at its relaxed geometry, as listed in the Alexandria database.

Output
ΔE to the lowest computed polymorph: 0.024 eV/atom
Symmetry: Pm (6)
ρ: 8.78 g/cm³
Uncorrected formation energy: -0.558 eV per atom

a = 4.7643 Å, b = 2.9979 Å, c = 6.4440 Å
α = 90.00°, β = 105.62°, γ = 90.00°
Sites, in units of the cell vectors:
Cd: 0.0000 0.0000 0.0000
Ge: 0.3752 0.0000 0.6264
Ge: 0.6691 0.5000 0.3651
Pt: 0.4845 0.5000 0.9628
O: 0.9664 0.0000 0.4547

---

8.
First-principles (GGA-PBE) data for crystalline CdGe2PtO at its relaxed geometry, as listed in the Alexandria database.

Output
ΔE to the lowest computed polymorph: 0.098 eV/atom
Symmetry: Cm (8)
ρ: 8.02 g/cm³
Uncorrected formation energy: -0.484 eV per atom

a = 4.6906 Å, b = 4.6906 Å, c = 8.4893 Å
α = 118.58°, β = 118.58°, γ = 36.98°
Sites, in units of the cell vectors:
Cd: 0.0000 0.0000 0.0000
Ge: 0.4957 0.4957 0.3603
Ge: 0.6731 0.6731 0.7198
Pt: 0.7425 0.7425 0.2973
O: 0.0692 0.0692 0.7620

---

uncorrected formation energy of number 1 (CdGePtO6)?
-0.884 eV per atom

---

Repeat the fifth record exactly.
First-principles (GGA-PBE) data for crystalline CdGePtO5 at its relaxed geometry, as listed in the Alexandria database.

Output
Symmetry: C2/c (15)
ρ: 7.52 g/cm³
Uncorrected formation energy: -1.058 eV per atom

a = 5.6344 Å, b = 5.6344 Å, c = 7.3412 Å
α = 104.93°, β = 104.93°, γ = 105.46°
Sites, in units of the cell vectors:
Cd: 0.1657 0.8343 0.7500
Cd: 0.8343 0.1657 0.2500
Ge: 0.1846 0.8154 0.2500
Ge: 0.8154 0.1846 0.7500
Pt: 0.5000 0.5000 0.0000
Pt: 0.5000 0.5000 0.5000
O: 0.1317 0.2359 0.9217
O: 0.1811 0.5942 0.3859
O: 0.2359 0.1317 0.4217
O: 0.4058 0.8189 0.1141
O: 0.4079 0.5921 0.7500
O: 0.5921 0.4079 0.2500
O: 0.5942 0.1811 0.8859
O: 0.7641 0.8683 0.5783
O: 0.8189 0.4058 0.6141
O: 0.8683 0.7641 0.0783